1.
Computed, not measured: a geometry-optimized MgZrCu structure at the PBE level of DFT.

Energy relative to the elements in kJ/mol of atoms: -3.8
Total energy in eV per cell: -28.71
Spin magnetization in μB per cell: 0.0

Cell: 6.580 5.389 5.272 Å, 76.22 52.69 51.09°
Fractional coordinates of all 6 atoms:
Mg 0.159 0.841 0.159
Mg 0.841 0.159 0.841
Zr 0.341 0.341 0.659
Zr 0.659 0.659 0.341
Cu 0.250 0.250 0.250
Cu 0.750 0.750 0.750

2.
Computed, not measured: a geometry-optimized Nd3SmPu2S6 structure at the PBE level of DFT.

E_form (uncorrected) in eV/atom: -1.9557
Total energy in eV per cell: -95.92
Spin magnetization in μB per cell: 11.2

Cell: 6.953 6.953 6.988 Å, 99.53 99.53 120.00°
Fractional coordinates of all 12 atoms:
Nd 0.000 0.000 0.000
Nd 0.334 0.666 0.000
Nd 0.666 0.334 0.000
Sm 0.500 0.500 0.500
Pu 0.167 0.833 0.500
Pu 0.833 0.167 0.500
S 0.082 0.419 0.258
S 0.243 0.243 0.741
S 0.419 0.082 0.258
S 0.581 0.918 0.742
S 0.757 0.757 0.259
S 0.918 0.581 0.742

3.
Computed, not measured: a geometry-optimized Pu3CI3 structure at the PBE level of DFT.

E_form (uncorrected) in eV/atom: -0.6709
Total energy in eV per cell: -123.13
Spin magnetization in μB per cell: 34.0

Cell: 8.828 3.944 11.950 Å, 90.00 92.46 90.00°
Fractional coordinates of all 14 atoms:
Pu 0.084 0.250 0.401
Pu 0.108 0.250 0.818
Pu 0.290 0.750 0.613
Pu 0.710 0.250 0.387
Pu 0.892 0.750 0.182
Pu 0.916 0.750 0.599
C 0.109 0.250 0.614
C 0.891 0.750 0.386
I 0.151 0.250 0.120
I 0.377 0.750 0.873
I 0.390 0.750 0.363
I 0.610 0.250 0.637
I 0.623 0.250 0.127
I 0.849 0.750 0.880

Q: Look up the total energy of the second one.
A: -95.92 eV per cell

Q: What is the formula in the first record?
A: MgZrCu